A plane-wave DFT calculation with PBE was carried out for an optimized crystal structure of La6GaC.

Cell lengths 6.7500, 6.7656, 7.6413 Å; angles 63.81, 64.21, 60.26 degrees
Closest atoms and distances in Å follow each position.
Sites, in units of the cell vectors:
La 0.0437 0.4001 0.2704  1 C 2.58
La 0.2156 0.9582 0.7290  1 C 2.57
La 0.3976 0.7849 0.2725  1 C 2.58
La 0.6024 0.2151 0.7275  1 C 2.58
La 0.7844 0.0418 0.2710  1 C 2.57
La 0.9563 0.5999 0.7296  1 C 2.58
Ga 0.5000 0.5000 0.0000  6 La 3.08
C 0.0000 0.0000 0.5000  6 La 2.57-2.58

Values from the calculation:
ΔE_f	-0.078	eV/atom
total moment	0.00	μB per formula unit
raw total energy	-42.44	eV for the cell shown